# MgBeOs2, single point on PBEsol structure, DFT SCAN
# Energy relative to the elements = 367 meV per atom
# Raw total energy = -606.48 eV/cell
data_MgBeOs2
_chemical_formula_sum 'Mg4 Be4 Os8'
_symmetry_space_group_name_H-M 'F m -3 m'
_symmetry_Int_Tables_number 225
_symmetry_space_group_name_Hall '-F 4 2 3'
_cell_length_a 5.891
_cell_length_b 5.891
_cell_length_c 5.891
_cell_angle_alpha 90.00
_cell_angle_beta 90.00
_cell_angle_gamma 90.00
loop_
_atom_site_label
_atom_site_fract_x
_atom_site_fract_y
_atom_site_fract_z
Mg1 0.000 0.000 0.000
Be1 0.000 0.000 0.500
Os1 0.250 0.250 0.250

***

# MgBeP3, single point on PBEsol structure, DFT SCAN
# Energy relative to the elements = 1434 meV per atom
# Raw total energy = -33.36 eV/cell
data_MgBeP3
_chemical_formula_sum 'Mg1 Be1 P3'
_symmetry_space_group_name_H-M 'P m -3 m'
_symmetry_Int_Tables_number 221
_symmetry_space_group_name_Hall '-P 4 2 3'
_cell_length_a 4.667
_cell_length_b 4.667
_cell_length_c 4.667
_cell_angle_alpha 90.00
_cell_angle_beta 90.00
_cell_angle_gamma 90.00
loop_
_atom_site_label
_atom_site_fract_x
_atom_site_fract_y
_atom_site_fract_z
Mg1 0.000 0.000 0.000
Be1 0.500 0.500 0.500
P1 0.000 0.000 0.500

***

# MgBeP2, single point on PBEsol structure, DFT SCAN
# ΔE to the lowest computed polymorph = 0.0 meV/atom
# Energy relative to the elements = 189 meV per atom
# Raw total energy = -58.74 eV/cell
data_MgBeP2
_chemical_formula_sum 'Mg2 Be2 P4'
_symmetry_space_group_name_H-M 'C 1 2/m 1'
_symmetry_Int_Tables_number 12
_symmetry_space_group_name_Hall '-C 2y'
_cell_length_a 5.154
_cell_length_b 6.676
_cell_length_c 3.463
_cell_angle_alpha 90.00
_cell_angle_beta 103.31
_cell_angle_gamma 90.00
loop_
_atom_site_label
_atom_site_fract_x
_atom_site_fract_y
_atom_site_fract_z
Mg1 0.000 0.000 0.000
Be1 0.000 0.500 0.000
P1 0.250 0.250 0.500